Rb2HS | PBE-GGA | relaxed

a b c (Å): 8.202 8.202 7.698
angles (deg): 90.00 90.00 90.00
Space group I-42d (No. 122)
Asymmetric unit:
Rb 0.205 0.250 0.125
H 0.000 0.000 0.000
S 0.000 0.000 0.500

Output
Energy relative to the lowest polymorph listed for this composition, meV/atom: 303.4
Crystal system: tetragonal
VASP energy, eV/cell: -41.1
Volume, Å³/f.u.: 129

NaCaHgPb | PBE-GGA | relaxed

a b c (Å): 7.616 7.616 7.616
angles (deg): 90.00 90.00 90.00
Space group F-43m (No. 216)
Asymmetric unit:
Na 0.000 0.000 0.000
Ca 0.000 0.000 0.500
Hg 0.250 0.250 0.250
Pb 0.250 0.250 0.750

Output
Energy relative to the lowest polymorph listed for this composition, meV/atom: 0.0
Crystal system: cubic
VASP energy, eV/cell: -35.0
E_form, meV per atom: -351.9
Volume, Å³/f.u.: 110

ScCoRh2Au | PBE-GGA | relaxed

a b c (Å): 4.610 4.610 4.394
angles (deg): 90.00 90.00 90.00
Space group P4/mmm (No. 123)
Asymmetric unit:
Sc 0.000 0.000 0.000
Co 0.000 0.000 0.500
Rh 0.000 0.500 0.000
Au 0.500 0.500 0.500

Output
Crystal system: tetragonal
VASP energy, eV/cell: -26.7
E_form, meV per atom: 942.5
Volume, Å³/f.u.: 93

Sr2CdGaH | PBE-GGA | relaxed

a b c (Å): 5.437 5.437 4.216
angles (deg): 90.00 90.00 90.00
Space group P4/mmm (No. 123)
Asymmetric unit:
Sr 0.000 0.500 0.000
Cd 0.000 0.000 0.500
Ga 0.500 0.500 0.500
H 0.500 0.500 0.000

Output
Energy relative to the lowest polymorph listed for this composition, meV/atom: 0.0
Crystal system: tetragonal
VASP energy, eV/cell: -12.1
Volume, Å³/f.u.: 125

GeB2SbTe | PBE-GGA | relaxed

a b c (Å): 4.482 4.482 5.991
angles (deg): 90.00 90.00 90.00
Space group P4/mmm (No. 123)
Asymmetric unit:
Ge 0.000 0.000 0.000
B 0.000 0.500 0.500
Sb 0.500 0.500 0.500
Te 0.500 0.500 0.000

Output
Crystal system: tetragonal
VASP energy, eV/cell: -17.2
Uncorrected formation energy, meV/atom: 1607
Volume, Å³/f.u.: 120

Dy2HfRh4 | PBE-GGA | relaxed

a b c (Å): 4.681 4.681 12.577
angles (deg): 90.00 90.00 90.00
Space group I4/mmm (No. 139)
Asymmetric unit:
Dy 0.000 0.000 0.231
Hf 0.000 0.000 0.500
Rh 0.000 0.500 0.114

Output
Crystal system: tetragonal
VASP energy, eV/cell: -105.3
E_form, meV per atom: -580.3
Volume, Å³/f.u.: 138

PmNd3Er5 | PBE-GGA | relaxed

a b c (Å): 15.393 11.258 10.031
angles (deg): 90.00 130.56 90.00
Space group C2/m (No. 12)
Asymmetric unit:
Pm 0.247 0.000 0.090
Nd 0.000 0.000 0.000
Nd 0.000 0.500 0.500
Nd 0.009 0.500 0.211
Nd 0.026 0.000 0.686
Er 0.000 0.259 0.000
Er 0.157 0.248 0.560
Er 0.215 0.500 0.208
Er 0.223 0.000 0.409

Output
Crystal system: monoclinic
VASP energy, eV/cell: -148.9
E_form, meV per atom: 514.8
Volume, Å³/f.u.: 330

Hf2ThZr | PBE-GGA | relaxed

a b c (Å): 3.804 3.804 6.938
angles (deg): 90.00 90.00 90.00
Space group P4/mmm (No. 123)
Asymmetric unit:
Hf 0.000 0.000 0.215
Th 0.500 0.500 0.500
Zr 0.500 0.500 0.000

Output
Energy relative to the lowest polymorph listed for this composition, meV/atom: 10.5
Crystal system: tetragonal
VASP energy, eV/cell: -35.4
E_form, meV per atom: 129.2
Volume, Å³/f.u.: 100

no.,magnetic moment (μB/cell)
1,4.00
2,0.00
3,1.69
4,0.00
5,0.00
6,0.00
7,0.00
8,0.00